No. 1
{"formula": "Rb3AcPr2Se6", "functional": "GGA-PBE", "state": "relaxed", "lattice_angstrom": [[3.8773, -6.7167, 0.0000], [3.8773, 6.7167, 0.0000], [-2.5843, 0.0000, 8.0418]], "species": ["Rb", "Rb", "Rb", "Ac", "Pr", "Pr", "Se", "Se", "Se", "Se", "Se", "Se"], "fractional_positions": [[0.0000, 0.0000, 0.0000], [0.3340, 0.6660, 0.0000], [0.6660, 0.3340, 0.0000], [0.5000, 0.5000, 0.5000], [0.1668, 0.8332, 0.5000], [0.8332, 0.1668, 0.5000], [0.0896, 0.4320, 0.2963], [0.2255, 0.2255, 0.7037], [0.4320, 0.0896, 0.2963], [0.5680, 0.9104, 0.7037], [0.7745, 0.7745, 0.2963], [0.9104, 0.5680, 0.7037]], "density_kg_m3": 4912, "dft_energy_ev_per_atom": -4.88, "sg": "No. 12", "e_form_raw_kcal_per_mol_atoms": -40.45}

No. 2
{"formula": "Sm2Al2Zn", "functional": "GGA-PBE", "state": "relaxed", "lattice_angstrom": [[5.4010, -2.2881, 0.0000], [5.4010, 2.2881, 0.0000], [-4.9206, 0.0000, 9.5469]], "species": ["Sm", "Sm", "Sm", "Sm", "Al", "Al", "Al", "Al", "Zn", "Zn"], "fractional_positions": [[0.0205, 0.0205, 0.3344], [0.1824, 0.1824, 0.0930], [0.8176, 0.8176, 0.9070], [0.9795, 0.9795, 0.6656], [0.3591, 0.3591, 0.4352], [0.4900, 0.4900, 0.1219], [0.5100, 0.5100, 0.8781], [0.6409, 0.6409, 0.5648], [0.2709, 0.2709, 0.6528], [0.7291, 0.7291, 0.3472]], "ef_mev_per_atom": -415, "density_kg_m3": 5913, "dft_energy_ev_per_atom": -4.05, "sg": "No. 12"}

No. 3
{"formula": "HfC2Cl", "functional": "GGA-PBE", "state": "relaxed", "lattice_angstrom": [[5.8506, 0.0000, 0.0000], [0.0000, 5.8506, 0.0000], [0.0000, 0.0000, 5.8506]], "species": ["Hf", "Hf", "Hf", "Hf", "C", "C", "C", "C", "C", "C", "C", "C", "Cl", "Cl", "Cl", "Cl"], "fractional_positions": [[0.0000, 0.0000, 0.0000], [0.0000, 0.5000, 0.5000], [0.5000, 0.0000, 0.5000], [0.5000, 0.5000, 0.0000], [0.2500, 0.2500, 0.2500], [0.2500, 0.2500, 0.7500], [0.2500, 0.7500, 0.2500], [0.2500, 0.7500, 0.7500], [0.7500, 0.2500, 0.2500], [0.7500, 0.2500, 0.7500], [0.7500, 0.7500, 0.2500], [0.7500, 0.7500, 0.7500], [0.0000, 0.0000, 0.5000], [0.0000, 0.5000, 0.0000], [0.5000, 0.0000, 0.0000], [0.5000, 0.5000, 0.5000]], "density_kg_m3": 7892, "dft_energy_ev_per_atom": -5.69, "sg": "No. 225", "e_form_raw_kcal_per_mol_atoms": 43.08}

No. 4
{"formula": "La2SmMgSe5", "functional": "GGA-PBE", "state": "relaxed", "lattice_angstrom": [[2.0960, -8.8460, 0.0000], [2.0960, 8.8460, 0.0000], [0.0000, 0.0000, 12.8328]], "species": ["La", "La", "La", "La", "Sm", "Sm", "Mg", "Mg", "Se", "Se", "Se", "Se", "Se", "Se", "Se", "Se", "Se", "Se"], "fractional_positions": [[0.1121, 0.8879, 0.5000], [0.1354, 0.8646, 0.1118], [0.8646, 0.1354, 0.6118], [0.8879, 0.1121, 0.0000], [0.2045, 0.7955, 0.8180], [0.7955, 0.2045, 0.3180], [0.4752, 0.5248, 0.2740], [0.5248, 0.4752, 0.7740], [0.0476, 0.9524, 0.8791], [0.2853, 0.7147, 0.4778], [0.3172, 0.6828, 0.1619], [0.3676, 0.6324, 0.8108], [0.4930, 0.5070, 0.5833], [0.5070, 0.4930, 0.0833], [0.6324, 0.3676, 0.3108], [0.6828, 0.3172, 0.6619], [0.7147, 0.2853, 0.9778], [0.9524, 0.0476, 0.3791]], "density_kg_m3": 5913, "dft_energy_ev_per_atom": -5.52, "sg": "No. 36", "e_form_raw_kcal_per_mol_atoms": -41.25}

No. 5
{"formula": "MgBeN2", "functional": "GGA-PBE", "state": "relaxed", "lattice_angstrom": [[5.1126, 0.0000, 0.0000], [0.0000, 5.1126, 0.0000], [0.0000, 0.0000, 5.1126]], "species": ["Mg", "Mg", "Mg", "Mg", "Be", "Be", "Be", "Be", "N", "N", "N", "N", "N", "N", "N", "N"], "fractional_positions": [[0.0000, 0.0000, 0.0000], [0.0000, 0.5000, 0.5000], [0.5000, 0.0000, 0.5000], [0.5000, 0.5000, 0.0000], [0.0000, 0.0000, 0.5000], [0.0000, 0.5000, 0.0000], [0.5000, 0.0000, 0.0000], [0.5000, 0.5000, 0.5000], [0.2500, 0.2500, 0.2500], [0.2500, 0.2500, 0.7500], [0.2500, 0.7500, 0.2500], [0.2500, 0.7500, 0.7500], [0.7500, 0.2500, 0.2500], [0.7500, 0.2500, 0.7500], [0.7500, 0.7500, 0.2500], [0.7500, 0.7500, 0.7500]], "density_kg_m3": 3048, "dft_energy_ev_per_atom": -4.95, "sg": "No. 225", "e_form_raw_kcal_per_mol_atoms": 12.51}